Entry 1:
AcCoSi after structural relaxation. Source: Alexandria via LeMat-Bulk, functional PBE-GGA.

Computed properties:
- distance to the lowest polymorph of the same formula (eV/atom) = 0.044
- spin magnetization (μB per formula unit) = 0.000
- energy relative to the elements, uncorrected (eV per formula unit) = -1.61
- calculated volume (Å³ per cell) = 263.2

Cell and atoms, written as CIF:
```
data_AcCoSi
_cell_length_a 11.752
_cell_length_b 4.136
_cell_length_c 5.573
_cell_angle_alpha 90.00
_cell_angle_beta 103.67
_cell_angle_gamma 90.00
_symmetry_space_group_name_H-M 'C 1 2/m 1'
_symmetry_Int_Tables_number 12
_symmetry_space_group_name_Hall '-C 2y'
loop_
_atom_site_label
_atom_site_fract_x
_atom_site_fract_y
_atom_site_fract_z
Ac1 0.110 0.000 0.306
Co1 0.205 0.000 0.868
Si1 0.126 0.500 0.816
```

***

Entry 2:
KNaLaF2 after structural relaxation. Source: Alexandria via LeMat-Bulk, functional PBE-GGA.

Computed properties:
- spin magnetization (μB per formula unit) = 0.940
- energy relative to the elements, uncorrected (eV per formula unit) = -4.19
- calculated volume (Å³ per cell) = 124.3

Cell and atoms, written as CIF:
```
data_KNaLaF2
_cell_length_a 4.599
_cell_length_b 4.599
_cell_length_c 5.876
_cell_angle_alpha 90.00
_cell_angle_beta 90.00
_cell_angle_gamma 90.00
_symmetry_space_group_name_H-M 'P 4/m m m'
_symmetry_Int_Tables_number 123
_symmetry_space_group_name_Hall '-P 4 2'
loop_
_atom_site_label
_atom_site_fract_x
_atom_site_fract_y
_atom_site_fract_z
K1 0.000 0.000 0.000
Na1 0.500 0.500 0.500
La1 0.500 0.500 0.000
F1 0.000 0.500 0.500
```

***

Entry 3:
Cs3NbF8 after structural relaxation. Source: Alexandria via LeMat-Bulk, functional PBE-GGA.

Computed properties:
- spin magnetization (μB per formula unit) = 0.014
- energy relative to the elements, uncorrected (eV per formula unit) = -35.83
- calculated volume (Å³ per cell) = 490.1

Cell and atoms, written as CIF:
```
data_Cs3NbF8
_cell_length_a 7.181
_cell_length_b 7.181
_cell_length_c 9.503
_cell_angle_alpha 90.00
_cell_angle_beta 90.00
_cell_angle_gamma 90.00
_symmetry_space_group_name_H-M 'I -4 2 m'
_symmetry_Int_Tables_number 121
_symmetry_space_group_name_Hall 'I -4 2'
loop_
_atom_site_label
_atom_site_fract_x
_atom_site_fract_y
_atom_site_fract_z
Cs1 0.000 0.000 0.000
Cs2 0.000 0.500 0.250
Nb1 0.000 0.000 0.500
F1 0.119 0.119 0.677
F2 0.193 0.193 0.439
```

***

Entry 4:
Rb2SmDyS4 after structural relaxation. Source: Alexandria via LeMat-Bulk, functional PBE-GGA.

Computed properties:
- spin magnetization (μB per formula unit) = 0.000
- energy relative to the elements, uncorrected (eV per formula unit) = -14.76
- calculated volume (Å³ per cell) = 227.0

Cell and atoms, written as CIF:
```
data_Rb2SmDyS4
_cell_length_a 7.147
_cell_length_b 4.125
_cell_length_c 8.060
_cell_angle_alpha 90.00
_cell_angle_beta 107.17
_cell_angle_gamma 90.00
_symmetry_space_group_name_H-M 'P 1 2/m 1'
_symmetry_Int_Tables_number 10
_symmetry_space_group_name_Hall '-P 2y'
loop_
_atom_site_label
_atom_site_fract_x
_atom_site_fract_y
_atom_site_fract_z
Rb1 0.000 0.000 0.000
Rb2 0.500 0.500 0.000
Sm1 0.000 0.500 0.500
Dy1 0.500 0.000 0.500
S1 0.236 0.000 0.695
S2 0.274 0.500 0.307
```

***

Entry 5:
PrTm2Rh after structural relaxation. Source: Alexandria via LeMat-Bulk, functional PBE-GGA.

Computed properties:
- energy relative to the elements (eV/atom) = -0.469
- distance to the lowest polymorph of the same formula (eV/atom) = 0.043
- spin magnetization (μB per formula unit) = 0.000
- calculated volume (Å³ per cell) = 104.8

Cell and atoms, written as CIF:
```
data_PrTm2Rh
_cell_length_a 3.464
_cell_length_b 3.464
_cell_length_c 8.738
_cell_angle_alpha 90.00
_cell_angle_beta 90.00
_cell_angle_gamma 90.00
_symmetry_space_group_name_H-M 'P 4/m m m'
_symmetry_Int_Tables_number 123
_symmetry_space_group_name_Hall '-P 4 2'
loop_
_atom_site_label
_atom_site_fract_x
_atom_site_fract_y
_atom_site_fract_z
Pr1 0.000 0.000 0.000
Tm1 0.500 0.500 0.316
Rh1 0.000 0.000 0.500
```

***

Entry 6:
MgRhCl2 after structural relaxation. Source: Alexandria via LeMat-Bulk, functional PBE-GGA.

Computed properties:
- distance to the lowest polymorph of the same formula (eV/atom) = 0.216
- spin magnetization (μB per formula unit) = 0.000
- energy relative to the elements, uncorrected (eV per formula unit) = -1.77
- calculated volume (Å³ per cell) = 155.4

Cell and atoms, written as CIF:
```
data_MgRhCl2
_cell_length_a 6.349
_cell_length_b 7.415
_cell_length_c 4.564
_cell_angle_alpha 90.00
_cell_angle_beta 133.66
_cell_angle_gamma 90.00
_symmetry_space_group_name_H-M 'C 1 2/m 1'
_symmetry_Int_Tables_number 12
_symmetry_space_group_name_Hall '-C 2y'
loop_
_atom_site_label
_atom_site_fract_x
_atom_site_fract_y
_atom_site_fract_z
Mg1 0.000 0.000 0.000
Rh1 0.000 0.500 0.000
Cl1 0.250 0.250 0.500
```

***

Entry 7:
PmFe2Ge7 after structural relaxation. Source: Alexandria via LeMat-Bulk, functional PBE-GGA.

Computed properties:
- energy relative to the elements (eV/atom) = 0.045
- spin magnetization (μB per formula unit) = 0.652
- calculated volume (Å³ per cell) = 406.4

Cell and atoms, written as CIF:
```
data_PmFe2Ge7
_cell_length_a 7.966
_cell_length_b 12.676
_cell_length_c 4.025
_cell_angle_alpha 90.00
_cell_angle_beta 90.00
_cell_angle_gamma 90.00
_symmetry_space_group_name_H-M 'C m m m'
_symmetry_Int_Tables_number 65
_symmetry_space_group_name_Hall '-C 2 2'
loop_
_atom_site_label
_atom_site_fract_x
_atom_site_fract_y
_atom_site_fract_z
Pm1 0.000 0.000 0.000
Fe1 0.000 0.323 0.500
Ge1 0.000 0.238 0.000
Ge2 0.000 0.500 0.500
Ge3 0.203 0.147 0.500
```

***

Number 1: uncorrected energy -6.084 eV/atom. Number 2: uncorrected energy -3.055 eV/atom. Number 3: uncorrected energy -5.286 eV/atom. Number 4: uncorrected energy -5.316 eV/atom. Number 5: uncorrected energy -5.737 eV/atom. Number 6: uncorrected energy -3.603 eV/atom. Number 7: uncorrected energy -5.355 eV/atom.